Below is a relaxed structure of YNiTe2, with properties calculated at the PBE level.

## Properties
**Symmetry**: No. 65
**E_form (uncorrected)**: -8.231 kcal/mol of atoms
**Calculated density**: 6.843 g/cm3

a b c (Å): 3.740 3.740 7.380
angles (deg): 90.00 90.00 108.76
Sites, in units of the cell vectors:
Ni: 0.500 0.500 0.750
Te: 0.000 0.000 0.971
Te: 0.000 0.000 0.529
Y: 0.500 0.500 0.250